Material: GdNbGe
Method: DFT, PBE-GGA
State: optimized geometry

Unit cell a=4.634 b=4.634 c=4.634 alpha=60.00 beta=60.00 gamma=60.00
Element x y z (fractional)
Gd1 0.250 0.250 0.250
Ge1 0.000 0.000 0.000
Nb1 0.750 0.750 0.750

Output
- Total moment: 0.374 μB/atom
- Calculated density: 7.62 Mg/m³
- SG: F-43m
- DFT total energy: -6.517 eV per atom